No. 1
The following is a DFT calculation (PBE) of a geometry-optimized Y3Sc7 structure.

a b c (Å): 17.141 4.732 6.719
angles (deg): 90.00 101.58 90.00
Space group C2/m (No. 12)
One atom of each set of equivalent atoms:
Y 0.000 0.000 0.000
Y 0.197 0.000 0.602
Sc 0.000 0.000 0.500
Sc 0.098 0.500 0.300
Sc 0.101 0.500 0.802
Sc 0.200 0.000 0.098

The calculation puts the energy relative to the elements at 62 meV per atom.

***

No. 2
The following is a DFT calculation (PBE) of a geometry-optimized SO structure.

a b c (Å): 10.9113 10.9113 2.5784
angles (deg): 90.00 90.00 120.00
Space group P6_3/m (No. 176)
One atom of each set of equivalent atoms:
S 0.1543 0.7266 0.2500
O 0.1468 0.4469 0.2500

As for the uncorrected formation energy: -0.243 eV per atom. The calculation puts the relative energy among the computed polymorphs at 0.319 eV/atom.

***

No. 3
The following is a DFT calculation (PBE) of a geometry-optimized CuSi3B structure.

a b c (Å): 4.434 4.434 4.434
angles (deg): 90.00 90.00 90.00
Space group Pm-3m (No. 221)
One atom of each set of equivalent atoms:
Cu 0.000 0.000 0.000
Si 0.000 0.000 0.500
B 0.500 0.500 0.500

As for the uncorrected formation energy: 1.491 eV per atom. The calculation puts the relative energy among the computed polymorphs at 0.743 eV/atom.

***

No. 4
The following is a DFT calculation (PBE) of a geometry-optimized YBeAl2 structure.

a b c (Å): 5.721 9.535 2.825
angles (deg): 90.00 107.85 90.00
Space group C2/m (No. 12)
One atom of each set of equivalent atoms:
Y 0.000 0.000 0.000
Be 0.000 0.500 0.000
Al 0.250 0.250 0.500

The calculation puts the energy relative to the elements at 192 meV per atom.

***

No. 5
The following is a DFT calculation (PBE) of a geometry-optimized Mg4TeAu structure.

a b c (Å): 8.178 8.178 8.178
angles (deg): 90.00 90.00 90.00
Space group F-43m (No. 216)
One atom of each set of equivalent atoms:
Mg 0.125 0.125 0.125
Te 0.250 0.250 0.750
Au 0.000 0.000 0.500

As for the uncorrected formation energy: -0.015 eV per atom.

***

No. 6
The following is a DFT calculation (PBE) of a geometry-optimized NaTaZn structure.

a b c (Å): 2.956 2.957 15.572
angles (deg): 87.49 87.57 61.18
Space group P1 (No. 1)
One atom of each set of equivalent atoms:
Na 0.000 0.000 0.000
Na 0.052 0.048 0.659
Ta 0.438 0.434 0.470
Ta 0.958 0.957 0.318
Zn 0.317 0.321 0.170
Zn 0.371 0.366 0.829

The calculation puts the energy relative to the elements at 245 meV per atom. The calculation puts the relative energy among the computed polymorphs at 0.108 eV/atom.